No. 1
A plane-wave DFT calculation with PBE was carried out for a relaxed Ta5H6 crystal.

Properties
The calculation puts the density of states at the Fermi level at 2.814 states/eV per cell. The value obtained for the relative energy among the computed polymorphs is 0 meV/atom. The crystal system is triclinic.

Unit cell a=2.978 b=4.810 c=7.796 alpha=72.13 beta=87.61 gamma=89.71
Positions (direct):
Ta (0.000, 0.000, 0.000)
Ta (0.247, 0.811, 0.377)
Ta (0.362, 0.597, 0.807)
Ta (0.638, 0.403, 0.193)
Ta (0.753, 0.189, 0.623)
H (0.260, 0.462, 0.601)
H (0.263, 0.937, 0.601)
H (0.498, 0.255, 0.000)
H (0.502, 0.745, 0.000)
H (0.737, 0.063, 0.399)
H (0.740, 0.538, 0.399)

---

No. 2
A plane-wave DFT calculation with PBE was carried out for a relaxed TiCd2HgCl crystal.

Properties
The calculation puts the density of states at the Fermi level at 6.265 states/eV per cell. The calculation puts the uncorrected formation energy at 72.85 kJ/mol of atoms. The crystal system is tetragonal.

Unit cell a=5.298 b=5.298 c=5.796 alpha=90.00 beta=90.00 gamma=90.00
Positions (direct):
Ti (0.000, 0.000, 0.000)
Cd (0.000, 0.500, 0.500)
Cd (0.500, 0.000, 0.500)
Hg (0.500, 0.500, 0.500)
Cl (0.500, 0.500, 0.000)

---

No. 3
A plane-wave DFT calculation with PBE was carried out for a relaxed LaMnRu2 crystal.

Properties
The calculation puts the density of states at the Fermi level at 4.418 states/eV per cell. The crystal system is orthorhombic. Its formation enthalpy at 0 K is 106.9 kJ/mol of formula units.

Unit cell a=2.912 b=3.644 c=7.030 alpha=90.00 beta=90.00 gamma=90.00
Positions (direct):
La (0.000, 0.000, 0.000)
Mn (0.500, 0.500, 0.330)
Ru (0.000, 0.000, 0.518)
Ru (0.500, 0.500, 0.687)

---

No. 4
A plane-wave DFT calculation with PBE was carried out for a relaxed Sm6Tl5I crystal.

Properties
The calculation puts the density of states at the Fermi level at 8.341 states/eV per cell. The calculation puts the uncorrected formation energy at -38.29 kJ/mol of atoms. The crystal system is orthorhombic.

Unit cell a=8.201 b=8.201 c=8.572 alpha=90.00 beta=90.00 gamma=142.86
Positions (direct):
Sm (0.000, 0.000, 0.248)
Sm (0.000, 0.000, 0.752)
Sm (0.334, 0.666, 0.245)
Sm (0.334, 0.666, 0.755)
Sm (0.666, 0.334, 0.245)
Sm (0.666, 0.334, 0.755)
Tl (0.166, 0.834, 0.000)
Tl (0.175, 0.825, 0.500)
Tl (0.500, 0.500, 0.000)
Tl (0.825, 0.175, 0.500)
Tl (0.834, 0.166, 0.000)
I (0.500, 0.500, 0.500)

---

| no. | magnetization (μB per formula unit) | final energy (eV/cell) | mass density (g/cm3) |
| --- | --- | --- | --- |
| 1 | 0.00 | -81.0 | 14.24 |
| 2 | 0.37 | -8.1 | 5.19 |
| 3 | 3.41 | -31.5 | 8.82 |
| 4 | 0.00 | -46.5 | 9.78 |